Entry 1:
DFT (PBE) results for a relaxed Sr5Pt crystal.

Cell lengths 14.018, 4.012, 10.078 Å; angles 90.00, 113.15, 90.00 degrees
Space group C2/m (No. 12)
Asymmetric unit:
Sr: 0.000 0.000 0.000 [2 per cell]
Sr: 0.114 0.500 0.386 [4 per cell]
Sr: 0.172 0.500 0.779 [4 per cell]
Pt: 0.000 0.000 0.500 [2 per cell]

Output
Magnetic moment (μB/f.u.): 0.0
Electronic total energy (eV per atom): -2.676
Calculated formation energy (eV/f.u.): -1.607

Entry 2:
DFT (PBE) results for a relaxed Cs2NaPd2 crystal.

Cell lengths 7.905, 7.905, 5.560 Å; angles 90.00, 90.00, 90.00 degrees
Space group P4/mbm (No. 127)
Asymmetric unit:
Cs: 0.176 0.324 0.000 [4 per cell]
Na: 0.000 0.000 0.500 [2 per cell]
Pd: 0.119 0.619 0.500 [4 per cell]

Output
Magnetic moment (μB/f.u.): 0.0
Electronic total energy (eV per atom): -2.520
Calculated formation energy (eV/f.u.): 0.810

Entry 3:
DFT (PBE) results for a relaxed TlZnCdGa2 crystal.

Cell lengths 4.909, 4.909, 5.255 Å; angles 90.00, 90.00, 90.00 degrees
Space group P4/mmm (No. 123)
Asymmetric unit:
Tl: 0.000 0.000 0.000 [1 per cell]
Zn: 0.500 0.500 0.500 [1 per cell]
Cd: 0.500 0.500 0.000 [1 per cell]
Ga: 0.000 0.500 0.500 [2 per cell]

Output
Magnetic moment (μB/f.u.): 0.0
Electronic total energy (eV per atom): -1.916
Calculated formation energy (eV/f.u.): 1.027

Entry 4:
DFT (PBE) results for a relaxed Tc2SnGeN crystal.

Cell lengths 4.833, 4.833, 3.676 Å; angles 90.00, 90.00, 90.00 degrees
Space group P4/mmm (No. 123)
Asymmetric unit:
Tc: 0.000 0.500 0.000 [2 per cell]
Sn: 0.000 0.000 0.500 [1 per cell]
Ge: 0.500 0.500 0.000 [1 per cell]
N: 0.500 0.500 0.500 [1 per cell]

Output
Magnetic moment (μB/f.u.): 3.2
Raw formation energy (eV per atom): 1.254
Electronic total energy (eV per atom): -6.282

Entry 5:
DFT (PBE) results for a relaxed Sb2IrOs crystal.

Cell lengths 6.632, 6.632, 6.632 Å; angles 90.00, 90.00, 90.00 degrees
Space group Fm-3m (No. 225)
Asymmetric unit:
Sb: 0.250 0.250 0.250 [8 per cell]
Ir: 0.000 0.000 0.000 [4 per cell]
Os: 0.000 0.000 0.500 [4 per cell]

Output
Magnetic moment (μB/f.u.): 0.9
Raw formation energy (eV per atom): 0.526
Electronic total energy (eV per atom): -6.558

Entry 6:
DFT (PBE) results for a relaxed MgSc3Rh crystal.

Cell lengths 9.935, 3.310, 12.977 Å; angles 90.00, 90.00, 90.00 degrees
Space group Pnma (No. 62)
Asymmetric unit:
Mg: 0.159 0.250 0.018 [4 per cell]
Sc: 0.068 0.250 0.598 [4 per cell]
Sc: 0.098 0.750 0.813 [4 per cell]
Sc: 0.160 0.750 0.232 [4 per cell]
Rh: 0.156 0.250 0.401 [4 per cell]

Output
Magnetic moment (μB/f.u.): 0.0
Electronic total energy (eV per atom): -5.939
Calculated formation energy (eV/f.u.): -1.757

Entry 7:
DFT (PBE) results for a relaxed Cs2SiPtAu crystal.

Cell lengths 6.838, 6.838, 4.542 Å; angles 90.00, 90.00, 90.00 degrees
Space group P4/mmm (No. 123)
Asymmetric unit:
Cs: 0.000 0.500 0.000 [2 per cell]
Si: 0.000 0.000 0.500 [1 per cell]
Pt: 0.000 0.000 0.000 [1 per cell]
Au: 0.500 0.500 0.500 [1 per cell]

Output
Magnetic moment (μB/f.u.): 0.0
Raw formation energy (eV per atom): -0.077
Electronic total energy (eV per atom): -3.367

Entry 8:
DFT (PBE) results for a relaxed Pm2GdAu crystal.

Cell lengths 3.696, 3.696, 8.647 Å; angles 90.00, 90.00, 90.00 degrees
Space group P4/mmm (No. 123)
Asymmetric unit:
Pm: 0.000 0.000 0.209 [2 per cell]
Gd: 0.500 0.500 0.500 [1 per cell]
Au: 0.500 0.500 0.000 [1 per cell]

Output
Magnetic moment (μB/f.u.): 8.1
Electronic total energy (eV per atom): -7.072
Calculated formation energy (eV/f.u.): -1.430

Entry 9:
DFT (PBE) results for a relaxed TlCd2Pt crystal.

Cell lengths 3.3131, 3.3131, 27.6949 Å; angles 90.00, 90.00, 120.00 degrees
Space group R3m (No. 160, hexagonal axes)
Asymmetric unit:
Tl: 0.0000 0.0000 0.0000 [3 per cell]
Cd: 0.0000 0.0000 0.2412 [3 per cell]
Cd: 0.0000 0.0000 0.4859 [3 per cell]
Pt: 0.0000 0.0000 0.7453 [3 per cell]

Output
Magnetic moment (μB/f.u.): 0.0
Electronic total energy (eV per atom): -2.500
Calculated formation energy (eV/f.u.): 0.236

Q: Look up the electronic total energy of the second one.
A: -2.520 eV per atom

Q: Look up the magnetic moment of the sixth one.
A: 0.0 μB/f.u.

Q: What is the magnetic moment in the second record?
A: 0.0 μB/f.u.

Q: Which value of electronic total energy does entry 2 give?
A: -2.520 eV per atom